{
  "formula": "KMnIrF2",
  "functional": "PBE with a Hubbard U",
  "state": "relaxed",
  "cell": [[4.595, 0.000, 0.000], [0.000, 4.917, 0.000], [0.000, 0.000, 4.595]],
  "species": ["F", "F", "Mn", "K", "Ir"],
  "frac_coords": [[0.000, 0.000, 0.500], [0.500, 0.000, 0.000], [0.000, 0.500, 0.000], [0.500, 0.500, 0.500], [0.000, 0.000, 0.000]],
  "magmom_total_mub_per_cell": 4.92,
  "total_energy_ev_per_cell": -23.2,
  "space_group": "No. 123"
}